[1]
Cs3NaCo2Cl9 PBE-GGA relaxed; crystal system = trigonal; DFT total energy = -3.5794 eV/atom; DOS at the Fermi energy = 15.35 states/eV/cell; E_form (uncorrected) = -18.98 eV per formula unit
1.0
-3.580 0.480 6.341
5.356 -4.891 -0.805
5.977 6.066 2.915
Co Cs Cl Na
2 3 9 1
direct
0.333 0.667 0.172
0.667 0.333 0.828
0.000 0.000 0.000
0.333 0.667 0.672
0.667 0.333 0.328
0.178 0.356 0.313
0.644 0.822 0.313
0.500 0.500 0.000
0.822 0.644 0.687
0.356 0.178 0.687
0.178 0.822 0.313
0.822 0.178 0.687
0.000 0.500 0.000
0.500 0.000 0.000
0.000 0.000 0.500



[2]
Cs2NbCoCl6 PBE-GGA relaxed; crystal system = tetragonal; DFT total energy = -4.2143 eV/atom; DOS at the Fermi energy = 27.35 states/eV/cell; E_form (uncorrected) = -12.18 eV per formula unit
1.0
7.207 0.000 0.000
0.000 7.207 0.000
3.604 3.604 5.104
Cl Cs Co Nb
6 2 1 1
direct
0.750 0.750 0.500
0.750 0.750 0.000
0.250 0.250 0.000
0.250 0.250 0.500
0.250 0.750 0.000
0.750 0.250 0.000
0.250 0.750 0.500
0.750 0.250 0.500
0.500 0.500 0.000
0.000 0.000 0.000



[3]
CsNdCo2Cl8 PBE-GGA relaxed; crystal system = trigonal; DFT total energy = -4.2489 eV/atom; E_form (uncorrected) = -16.38 eV per formula unit
1.0
6.592 0.000 0.000
3.296 5.709 0.000
3.296 1.903 10.116
Cl Co Cs Nd
8 2 1 1
direct
0.049 0.395 0.839
0.817 0.817 0.548
0.605 0.283 0.161
0.951 0.605 0.161
0.183 0.183 0.452
0.283 0.951 0.161
0.395 0.717 0.839
0.717 0.049 0.839
0.255 0.255 0.236
0.745 0.745 0.764
0.500 0.500 0.500
0.000 0.000 0.000



[4]
CsCo2NiCl8 PBE-GGA relaxed; crystal system = trigonal; DFT total energy = -3.7615 eV/atom; DOS at the Fermi energy = 11.33 states/eV/cell; E_form (uncorrected) = -9.52 eV per formula unit
1.0
-5.960 0.340 1.856
-1.795 -2.821 5.282
-0.559 7.286 7.401
Cl Co Cs Ni
8 2 1 1
direct
0.046 0.365 0.855
0.954 0.635 0.145
0.265 0.954 0.145
0.735 0.046 0.855
0.365 0.735 0.855
0.635 0.265 0.145
0.812 0.812 0.565
0.188 0.188 0.435
0.263 0.263 0.210
0.737 0.737 0.790
0.500 0.500 0.500
0.000 0.000 0.000



[5]
CsCoNi2Cl8 PBE-GGA relaxed; crystal system = trigonal; DFT total energy = -3.5950 eV/atom; DOS at the Fermi energy = 8.94 states/eV/cell; E_form (uncorrected) = -8.84 eV per formula unit
1.0
-0.712 1.479 -5.938
-5.552 1.615 -2.128
-0.157 10.454 -0.573
Ni Cl Cs Co
2 8 1 1
direct
0.269 0.269 0.192
0.731 0.731 0.808
0.955 0.653 0.137
0.745 0.045 0.863
0.045 0.347 0.863
0.255 0.955 0.137
0.653 0.255 0.137
0.195 0.195 0.415
0.805 0.805 0.585
0.347 0.745 0.863
0.500 0.500 0.500
0.000 0.000 0.000



[6]
CsNpCoCl6 PBE-GGA relaxed; crystal system = monoclinic; DFT total energy = -4.9764 eV/atom; DOS at the Fermi energy = 8.63 states/eV/cell; E_form (uncorrected) = -12.81 eV per formula unit
1.0
-4.938 -4.488 -0.299
1.352 -6.507 0.751
-1.111 0.666 7.868
Cl Co Np Cs
6 1 1 1
direct
0.382 0.979 0.688
0.639 0.979 0.312
0.643 0.378 0.686
0.980 0.644 0.686
0.979 0.378 0.314
0.377 0.644 0.314
0.667 0.666 0.500
0.333 0.333 0.500
0.000 0.000 0.000